The following is a PBE calculation of a geometry-optimized LaCu2Ni structure, from Alexandria via LeMat-Bulk.

The calculation puts the energy relative to the elements at 0.0769 eV/atom.

It has space group P4/mmm (No. 123), with a = 3.1801 Å, b = 3.1801 Å, c = 6.6635 Å, α = 90.00°, β = 90.00° and γ = 90.00°. The asymmetric unit holds La at (0.0000, 0.0000, 0.0000), Cu at (0.5000, 0.5000, 0.3189) and Ni at (0.0000, 0.0000, 0.5000).


The following is a PBE calculation of a geometry-optimized U2C structure, from Alexandria via LeMat-Bulk.

The calculation puts the energy relative to the elements at 0.2211 eV/atom.

It has space group C2/m (No. 12), with a = 4.0821 Å, b = 4.0843 Å, c = 5.9143 Å, α = 90.00°, β = 110.05° and γ = 90.00°. The asymmetric unit holds U at (0.1317, 0.0000, 0.2615) and C at (0.0000, 0.5000, 0.0000).


The following is a PBE calculation of a geometry-optimized Ba2GeBi structure, from Alexandria via LeMat-Bulk.

The calculation puts the energy relative to the lowest polymorph listed for this composition at 232 meV/atom. The calculation puts the energy relative to the elements at -0.3146 eV/atom.

It has space group I-42d (No. 122), with a = 9.3010 Å, b = 9.3010 Å, c = 7.2078 Å, α = 90.00°, β = 90.00° and γ = 90.00°. The asymmetric unit holds Ba at (0.2312, 0.2500, 0.1250), Ge at (0.0000, 0.0000, 0.0000) and Bi at (0.0000, 0.0000, 0.5000).


The following is a PBE calculation of a geometry-optimized RbSrCa2Ni structure, from Alexandria via LeMat-Bulk.

The calculation puts the energy relative to the elements at 0.0686 eV/atom.

It has space group P4/mmm (No. 123), with a = 5.8202 Å, b = 5.8202 Å, c = 6.0147 Å, α = 90.00°, β = 90.00° and γ = 90.00°. The asymmetric unit holds Rb at (0.0000, 0.0000, 0.0000), Sr at (0.5000, 0.5000, 0.0000), Ca at (0.0000, 0.5000, 0.5000) and Ni at (0.5000, 0.5000, 0.5000).


The following is a PBE calculation of a geometry-optimized Cd2TeP structure, from Alexandria via LeMat-Bulk.

The uncorrected formation energy is -0.017 eV per atom. The calculation puts the energy relative to the lowest polymorph listed for this composition at 50 meV/atom.

It has space group Cm (No. 8), with a = 8.4072 Å, b = 3.4560 Å, c = 7.4459 Å, α = 90.00°, β = 90.44° and γ = 90.00°. The asymmetric unit holds Cd at (0.0000, 0.0000, 0.0000), Cd at (0.2301, 0.0000, 0.4036), Te at (0.2309, 0.5000, 0.7665) and P at (0.0106, 0.5000, 0.2744).


The following is a PBE calculation of a geometry-optimized CaHoCu2 structure, from Alexandria via LeMat-Bulk.

The calculation puts the energy relative to the lowest polymorph listed for this composition at 45 meV/atom. The calculation puts the energy relative to the elements at -0.1340 eV/atom.

It has space group Fm-3m (No. 225), with a = 6.9666 Å, b = 6.9666 Å, c = 6.9666 Å, α = 90.00°, β = 90.00° and γ = 90.00°. The asymmetric unit holds Ca at (0.0000, 0.0000, 0.0000), Ho at (0.0000, 0.0000, 0.5000) and Cu at (0.2500, 0.2500, 0.2500).


The following is a PBE calculation of a geometry-optimized Pm4Cd3 structure, from Alexandria via LeMat-Bulk.

The calculation puts the energy relative to the lowest polymorph listed for this composition at 0 meV/atom. The calculation puts the energy relative to the elements at -0.1592 eV/atom.

It has space group R-3m (No. 166, hexagonal axes), with a = 5.3616 Å, b = 5.3616 Å, c = 25.6788 Å, α = 90.00°, β = 90.00° and γ = 120.00°. The asymmetric unit holds Pm at (0.0000, 0.0000, 0.1174), Pm at (0.0000, 0.0000, 0.3703), Cd at (0.0000, 0.0000, 0.2450) and Cd at (0.0000, 0.0000, 0.5000).


The following is a PBE calculation of a geometry-optimized SrLaHg structure, from Alexandria via LeMat-Bulk.

The calculation puts the energy relative to the lowest polymorph listed for this composition at 71 meV/atom. The calculation puts the energy relative to the elements at -0.2696 eV/atom.

It has space group C2/m (No. 12), with a = 7.1174 Å, b = 10.7868 Å, c = 6.6609 Å, α = 90.00°, β = 120.83° and γ = 90.00°. The asymmetric unit holds Sr at (0.0000, 0.1764, 0.0000), La at (0.2014, 0.5000, 0.3670) and Hg at (0.0000, 0.2588, 0.5000).


The following is a PBE calculation of a geometry-optimized SrTcRh structure, from Alexandria via LeMat-Bulk.

The calculation puts the energy relative to the lowest polymorph listed for this composition at 594 meV/atom. The calculation puts the energy relative to the elements at 0.6852 eV/atom.

It has space group P-6m2 (No. 187), with a = 4.8009 Å, b = 4.8009 Å, c = 2.9274 Å, α = 90.00°, β = 90.00° and γ = 120.00°. The asymmetric unit holds Sr at (0.0000, 0.0000, 0.0000), Tc at (0.6667, 0.3333, 0.5000) and Rh at (0.3333, 0.6667, 0.5000).


The following is a PBE calculation of a geometry-optimized ZrPH structure, from Alexandria via LeMat-Bulk.

The calculation puts the energy relative to the lowest polymorph listed for this composition at 224 meV/atom.

It has space group R3m (No. 160, hexagonal axes), with a = 3.5654 Å, b = 3.5654 Å, c = 21.2832 Å, α = 90.00°, β = 90.00° and γ = 120.00°. The asymmetric unit holds Zr at (0.0000, 0.0000, 0.0000), Zr at (0.0000, 0.0000, 0.1639), P at (0.0000, 0.0000, 0.5835), P at (0.0000, 0.0000, 0.7489), H at (0.0000, 0.0000, 0.3396) and H at (0.0000, 0.0000, 0.4691).


The following is a PBE calculation of a geometry-optimized Sr2NbCu structure, from Alexandria via LeMat-Bulk.

The calculation puts the energy relative to the lowest polymorph listed for this composition at 0 meV/atom. The calculation puts the energy relative to the elements at 0.7910 eV/atom.

It has space group Fm-3m (No. 225), with a = 7.8277 Å, b = 7.8277 Å, c = 7.8277 Å, α = 90.00°, β = 90.00° and γ = 90.00°. The asymmetric unit holds Sr at (0.2500, 0.2500, 0.2500), Nb at (0.0000, 0.0000, 0.0000) and Cu at (0.0000, 0.0000, 0.5000).


The following is a PBE calculation of a geometry-optimized YZnCl2 structure, from Alexandria via LeMat-Bulk.

The uncorrected formation energy is -0.649 eV per atom. The calculation puts the energy relative to the lowest polymorph listed for this composition at 566 meV/atom.

It has space group F-43m (No. 216), with a = 7.1182 Å, b = 7.1182 Å, c = 7.1182 Å, α = 90.00°, β = 90.00° and γ = 90.00°. The asymmetric unit holds Y at (0.0000, 0.0000, 0.0000), Zn at (0.2500, 0.2500, 0.7500), Cl at (0.0000, 0.0000, 0.5000) and Cl at (0.2500, 0.2500, 0.2500).


The following is a PBE calculation of a geometry-optimized LiTb2NdSe4 structure, from Alexandria via LeMat-Bulk.

The uncorrected formation energy is -1.756 eV per atom.

It has space group P2/m (No. 10), with a = 7.1328 Å, b = 4.1002 Å, c = 7.1386 Å, α = 90.00°, β = 109.24° and γ = 90.00°. The asymmetric unit holds Li at (0.0000, 0.0000, 0.0000), Tb at (0.0000, 0.5000, 0.5000), Tb at (0.5000, 0.0000, 0.5000), Nd at (0.5000, 0.5000, 0.0000), Se at (0.2386, 0.0000, 0.7467) and Se at (0.2423, 0.5000, 0.2495).


The following is a PBE calculation of a geometry-optimized LaNd12Rh7 structure, from Alexandria via LeMat-Bulk.

The calculation puts the energy relative to the elements at -0.4701 eV/atom.

It has space group R-3 (No. 148, hexagonal axes), with a = 14.5694 Å, b = 14.5694 Å, c = 10.0444 Å, α = 90.00°, β = 90.00° and γ = 120.00°. The asymmetric unit holds La at (0.0000, 0.0000, 0.0000), Nd at (0.0288, 0.4392, 0.6642), Nd at (0.0480, 0.8721, 0.3340), Rh at (0.0000, 0.0000, 0.5000) and Rh at (0.0503, 0.8653, 0.8273).


The following is a PBE calculation of a geometry-optimized Na2MgInHg6 structure, from Alexandria via LeMat-Bulk.

The calculation puts the energy relative to the elements at 0.0198 eV/atom.

It has space group Fm-3m (No. 225), with a = 11.1256 Å, b = 11.1256 Å, c = 11.1256 Å, α = 90.00°, β = 90.00° and γ = 90.00°. The asymmetric unit holds Na at (0.2500, 0.2500, 0.2500), Mg at (0.0000, 0.0000, 0.0000), In at (0.0000, 0.0000, 0.5000) and Hg at (0.0000, 0.0000, 0.2442).


The following is a PBE calculation of a geometry-optimized PmTmSc2Sb4 structure, from Alexandria via LeMat-Bulk.

The uncorrected formation energy is -1.019 eV per atom.

It has space group P2/m (No. 10), with a = 7.4248 Å, b = 4.2970 Å, c = 7.4382 Å, α = 90.00°, β = 109.53° and γ = 90.00°. The asymmetric unit holds Pm at (0.0000, 0.0000, 0.0000), Tm at (0.0000, 0.5000, 0.5000), Sc at (0.5000, 0.0000, 0.5000), Sc at (0.5000, 0.5000, 0.0000), Sb at (0.2650, 0.0000, 0.7500) and Sb at (0.2686, 0.5000, 0.2611).


The following is a PBE calculation of a geometry-optimized LiLa5S8 structure, from Alexandria via LeMat-Bulk.

The uncorrected formation energy is -2.095 eV per atom.

It has space group I-4 (No. 82), with a = 8.6783 Å, b = 8.6783 Å, c = 8.7603 Å, α = 90.00°, β = 90.00° and γ = 90.00°. The asymmetric unit holds Li at (0.0000, 0.0000, 0.0000), La at (0.0000, 0.5000, 0.2500), La at (0.1309, 0.2519, 0.6299), S at (0.0704, 0.3196, 0.9532) and S at (0.0765, 0.1804, 0.3123).


The following is a PBE calculation of a geometry-optimized Ba2BeTc structure, from Alexandria via LeMat-Bulk.

The calculation puts the energy relative to the elements at 1.0174 eV/atom.

It has space group P4/mmm (No. 123), with a = 5.6610 Å, b = 5.6610 Å, c = 3.7120 Å, α = 90.00°, β = 90.00° and γ = 90.00°. The asymmetric unit holds Ba at (0.0000, 0.5000, 0.0000), Be at (0.0000, 0.0000, 0.5000) and Tc at (0.5000, 0.5000, 0.5000).


The following is a PBE calculation of a geometry-optimized Dy12GePd6 structure, from Alexandria via LeMat-Bulk.

The calculation puts the energy relative to the elements at -0.5168 eV/atom.

It has space group R-3 (No. 148, hexagonal axes), with a = 12.7597 Å, b = 12.7597 Å, c = 11.5329 Å, α = 90.00°, β = 90.00° and γ = 120.00°. The asymmetric unit holds Dy at (0.0253, 0.8139, 0.3885), Dy at (0.0338, 0.8249, 0.8833), Ge at (0.0000, 0.0000, 0.0000) and Pd at (0.0384, 0.7797, 0.6428).


The following is a PBE calculation of a geometry-optimized TeO2F structure, from Alexandria via LeMat-Bulk.

The uncorrected formation energy is -0.534 eV per atom. The calculation puts the energy relative to the lowest polymorph listed for this composition at 0 meV/atom.

It has space group R-3m (No. 166, hexagonal axes), with a = 3.5386 Å, b = 3.5386 Å, c = 13.0785 Å, α = 90.00°, β = 90.00° and γ = 120.00°. The asymmetric unit holds Te at (0.0000, 0.0000, 0.0000), O at (0.0000, 0.0000, 0.2758) and F at (0.0000, 0.0000, 0.5000).


The following is a PBE calculation of a geometry-optimized SnHgSb2I structure, from Alexandria via LeMat-Bulk.

The uncorrected formation energy is 0.504 eV per atom. The calculation puts the energy relative to the lowest polymorph listed for this composition at 0 meV/atom.

It has space group P4/mmm (No. 123), with a = 5.8007 Å, b = 5.8007 Å, c = 6.1134 Å, α = 90.00°, β = 90.00° and γ = 90.00°. The asymmetric unit holds Sn at (0.0000, 0.0000, 0.0000), Hg at (0.5000, 0.5000, 0.5000), Sb at (0.0000, 0.5000, 0.0000) and I at (0.0000, 0.0000, 0.5000).


The following is a PBE calculation of a geometry-optimized AcPaFeN3 structure, from Alexandria via LeMat-Bulk.

The uncorrected formation energy is -1.054 eV per atom.

It has space group P2_1/m (No. 11), with a = 7.4817 Å, b = 3.5081 Å, c = 7.5637 Å, α = 90.00°, β = 104.39° and γ = 90.00°. The asymmetric unit holds Ac at (0.1834, 0.2500, 0.2211), Pa at (0.3310, 0.7500, 0.8250), Fe at (0.0862, 0.2500, 0.5784), N at (0.1346, 0.2500, 0.8591), N at (0.1742, 0.7500, 0.4875) and N at (0.4497, 0.7500, 0.1376).


The following is a PBE calculation of a geometry-optimized Zn2TeAs structure, from Alexandria via LeMat-Bulk.

The uncorrected formation energy is 0.057 eV per atom. The calculation puts the energy relative to the lowest polymorph listed for this composition at 235 meV/atom.

It has space group P2/m (No. 10), with a = 4.3164 Å, b = 3.8696 Å, c = 5.4654 Å, α = 90.00°, β = 106.52° and γ = 90.00°. The asymmetric unit holds Zn at (0.2345, 0.0000, 0.2773), Te at (0.5000, 0.5000, 0.0000) and As at (0.0000, 0.5000, 0.5000).


The following is a PBE calculation of a geometry-optimized Zr3Be2Ga4 structure, from Alexandria via LeMat-Bulk.

The calculation puts the energy relative to the elements at -0.5019 eV/atom.

It has space group C2/m (No. 12), with a = 9.7575 Å, b = 4.1051 Å, c = 7.8424 Å, α = 90.00°, β = 111.64° and γ = 90.00°. The asymmetric unit holds Zr at (0.0000, 0.0000, 0.0000), Zr at (0.1620, 0.5000, 0.6667), Be at (0.1146, 0.5000, 0.2851), Ga at (0.0664, 0.0000, 0.3878) and Ga at (0.2133, 0.5000, 0.0622).